# YSc2Cd

An optimized crystal structure of YSc2Cd (PBE, Alexandria).

a = 5.218 Å, b = 5.218 Å, c = 5.218 Å
α = 60.00°, β = 60.00°, γ = 60.00°
Atoms (fractional coordinates):
Cd (0.500, 0.500, 0.500)
Sc (0.250, 0.250, 0.250)
Sc (0.000, 0.000, 0.000)
Y (0.750, 0.750, 0.750)

V = 25.12 Å³/atom
formation enthalpy at 0 K = -32 meV/atom
uncorrected energy = -5.04 eV per atom


# YScCd

An optimized crystal structure of YScCd (PBE, Alexandria).

a = 4.962 Å, b = 4.962 Å, c = 4.962 Å
α = 60.00°, β = 60.00°, γ = 60.00°
Atoms (fractional coordinates):
Cd (0.750, 0.750, 0.750)
Sc (0.000, 0.000, 0.000)
Y (0.250, 0.250, 0.250)

V = 28.79 Å³/atom
ΔE to the lowest computed polymorph = 674 meV per atom
formation enthalpy at 0 K = 458 meV/atom
uncorrected energy = -4.11 eV per atom


# YScCd2

An optimized crystal structure of YScCd2 (PBE, Alexandria).

a = 9.890 Å, b = 9.890 Å, c = 9.890 Å
α = 20.48°, β = 20.48°, γ = 20.48°
Atoms (fractional coordinates):
Cd (0.996, 0.996, 0.996)
Cd (0.504, 0.504, 0.504)
Sc (0.250, 0.250, 0.250)
Y (0.750, 0.750, 0.750)

V = 25.91 Å³/atom
formation enthalpy at 0 K = -137 meV/atom
uncorrected energy = -3.79 eV per atom


# YSc2Cd

An optimized crystal structure of YSc2Cd (PBE, Alexandria).

a = 11.486 Å, b = 11.486 Å, c = 11.486 Å
α = 16.46°, β = 16.46°, γ = 16.46°
Atoms (fractional coordinates):
Cd (0.500, 0.500, 0.500)
Y (0.000, 0.000, 0.000)
Sc (0.905, 0.905, 0.905)
Sc (0.095, 0.095, 0.095)

V = 26.52 Å³/atom
formation enthalpy at 0 K = 172 meV/atom
uncorrected energy = -4.84 eV per atom